(1)
# TaCuIr2

A relaxed TaCuIr2 crystal (PBEsol, the Alexandria database).

Structure (POSCAR):
```
TaCuIr2
1.0
-2.675 1.216 -0.223
-1.244 -2.326 2.248
1.216 3.454 4.248
Cu Ir Ta
1 2 1
Direct
0.500 0.500 0.500 Cu
0.000 0.000 0.261 Ir
0.000 0.000 0.739 Ir
0.500 0.500 0.000 Ta
```

Raw total energy, eV per atom: -9.52
Formation energy from the elements, kJ per mole of atoms: -38
Theoretical density, g/cm3: 18.23

***

(2)
# TaCuIr2

A relaxed TaCuIr2 crystal (PBEsol, the Alexandria database).

Structure (POSCAR):
```
TaCuIr2
1.0
-3.471 -0.247 -1.907
-0.178 -0.638 4.536
-1.379 3.063 2.113
Ir Cu Ta
2 1 1
Direct
0.750 0.500 0.750 Ir
0.250 0.500 0.250 Ir
0.500 0.000 0.500 Cu
0.000 0.000 0.000 Ta
```

Raw total energy, eV per atom: -9.57
Formation energy from the elements, kJ per mole of atoms: -42
Theoretical density, g/cm3: 18.29

***

(3)
# TaCuIr2

A relaxed TaCuIr2 crystal (PBEsol, the Alexandria database).

Structure (POSCAR):
```
TaCuIr2
1.0
-3.188 -2.906 -0.372
-0.020 -2.778 -3.321
0.807 -4.198 0.684
Ir Ta Cu
2 1 1
Direct
0.750 0.750 0.750 Ir
0.250 0.250 0.250 Ir
0.500 0.500 0.500 Ta
0.000 0.000 0.000 Cu
```

Raw total energy, eV per atom: -9.51
Formation energy from the elements, kJ per mole of atoms: -36
Theoretical density, g/cm3: 18.20

***

(4)
# Tb2CuIr

A relaxed Tb2CuIr crystal (PBEsol, the Alexandria database).

Structure (POSCAR):
```
Tb2CuIr
1.0
-4.332 -1.703 -1.211
-2.463 -2.729 3.101
-3.948 1.740 2.125
Tb Ir Cu
2 1 1
Direct
0.250 0.250 0.250 Tb
0.750 0.750 0.750 Tb
0.000 0.000 0.000 Ir
0.500 0.500 0.500 Cu
```

Raw total energy, eV per atom: -6.59
Formation energy from the elements, kJ per mole of atoms: -53
Theoretical density, g/cm3: 12.11

***

(5)
# CuTcIr2

A relaxed CuTcIr2 crystal (PBEsol, the Alexandria database).

Structure (POSCAR):
```
CuTcIr2
1.0
2.772 0.000 0.000
0.000 4.434 0.000
-1.386 -2.217 4.376
Ir Cu Tc
2 1 1
Direct
0.735 0.735 0.469 Ir
0.265 0.265 0.531 Ir
0.000 0.500 0.000 Cu
0.500 0.000 0.000 Tc
```

Raw total energy, eV per atom: -8.62
Formation energy from the elements, kJ per mole of atoms: 18
Theoretical density, g/cm3: 16.85

***

(6)
# CuTcIr2

A relaxed CuTcIr2 crystal (PBEsol, the Alexandria database).

Structure (POSCAR):
```
CuTcIr2
1.0
2.722 0.000 0.000
0.000 2.722 0.000
0.000 0.000 7.237
Ir Tc Cu
2 1 1
Direct
0.000 0.000 0.749 Ir
0.000 0.000 0.251 Ir
0.500 0.500 0.000 Tc
0.500 0.500 0.500 Cu
```

Raw total energy, eV per atom: -8.89
Formation energy from the elements, kJ per mole of atoms: -7
Theoretical density, g/cm3: 16.91

***

(7)
# CuTcIr

A relaxed CuTcIr crystal (PBEsol, the Alexandria database).

Structure (POSCAR):
```
CuTcIr
1.0
3.971 0.000 0.000
1.985 3.439 0.000
1.985 1.146 3.242
Ir Tc Cu
1 1 1
Direct
0.000 0.000 0.000 Ir
0.500 0.500 0.500 Tc
0.250 0.250 0.250 Cu
```

Raw total energy, eV per atom: -7.60
Formation energy from the elements, kJ per mole of atoms: 85
Theoretical density, g/cm3: 13.27

***

(8)
# Cu2TeIr

A relaxed Cu2TeIr crystal (PBEsol, the Alexandria database).

Structure (POSCAR):
```
Cu2TeIr
1.0
-3.427 -0.351 -1.899
1.526 -2.861 -2.224
-0.195 -0.983 4.607
Cu Ir Te
2 1 1
Direct
0.000 0.000 0.000 Cu
0.750 0.250 0.500 Cu
0.500 0.500 0.000 Ir
0.250 0.750 0.500 Te
```

Raw total energy, eV per atom: -5.28
Theoretical density, g/cm3: 12.60
Formation energy without anion corrections, eV per atom: 0.23

***

(9)
# Cu2TeIr

A relaxed Cu2TeIr crystal (PBEsol, the Alexandria database).

Structure (POSCAR):
```
Cu2TeIr
1.0
-2.285 -0.053 1.952
0.548 -0.151 2.951
-0.437 7.965 2.019
Cu Te Ir
2 1 1
Direct
0.748 0.748 0.757 Cu
0.009 0.009 0.973 Cu
0.248 0.248 0.255 Te
0.495 0.495 0.515 Ir
```

Raw total energy, eV per atom: -5.03
Theoretical density, g/cm3: 11.79
Formation energy without anion corrections, eV per atom: 0.47

***

(10)
# CuTe2Ir

A relaxed CuTe2Ir crystal (PBEsol, the Alexandria database).

Structure (POSCAR):
```
CuTe2Ir
1.0
-3.266 -1.769 -0.712
1.193 -0.334 -4.642
1.696 -3.975 2.100
Cu Te Ir
1 2 1
Direct
0.500 0.500 0.500 Cu
0.000 0.232 0.768 Te
0.000 0.768 0.232 Te
0.500 0.000 0.000 Ir
```

Raw total energy, eV per atom: -4.98
Theoretical density, g/cm3: 10.11
Formation energy without anion corrections, eV per atom: 0.33

***

(11)
# TlCu2Ir

A relaxed TlCu2Ir crystal (PBEsol, the Alexandria database).

Structure (POSCAR):
```
TlCu2Ir
1.0
-1.555 3.289 -2.433
-3.896 1.761 0.934
-0.232 4.039 1.671
Cu Ir Tl
2 1 1
Direct
0.250 0.250 0.250 Cu
0.000 0.000 0.000 Cu
0.500 0.500 0.500 Ir
0.750 0.750 0.750 Tl
```

Raw total energy, eV per atom: -4.93
Formation energy from the elements, kJ per mole of atoms: 34
Theoretical density, g/cm3: 14.67

***

(12)
# TlCu2Ir

A relaxed TlCu2Ir crystal (PBEsol, the Alexandria database).

Structure (POSCAR):
```
TlCu2Ir
1.0
3.029 0.000 0.000
0.000 3.029 0.000
0.000 0.000 6.407
Tl Cu Ir
1 2 1
Direct
0.500 0.500 0.756 Tl
0.500 0.500 0.236 Cu
0.000 0.000 0.045 Cu
0.000 0.000 0.463 Ir
```

Raw total energy, eV per atom: -4.95
Formation energy from the elements, kJ per mole of atoms: 32
Theoretical density, g/cm3: 14.79

***

Question: theoretical density of number 7 (CuTcIr)?
Answer: 13.27 g/cm3

***

Question: Look up the raw total energy of the eighth one.
Answer: -5.28 eV per atom

***

Question: What is the theoretical density in the eleventh record?
Answer: 14.67 g/cm3